# AlCuNi2 PBE optimized geometry
data_AlCuNi2
_chemical_formula_sum 'Al4 Cu4 Ni8'
_space_group_name_H-M_alt 'F -4 3 m'
_space_group_IT_number 216
_space_group_name_Hall 'F -4 2 3'
_cell_length_a 5.727
_cell_length_b 5.727
_cell_length_c 5.727
_cell_angle_alpha 90.00
_cell_angle_beta 90.00
_cell_angle_gamma 90.00
loop_
_atom_site_label
_atom_site_fract_x
_atom_site_fract_y
_atom_site_fract_z
Al1 0.000 0.000 0.000
Cu1 0.250 0.250 0.750
Ni1 0.000 0.000 0.500
Ni2 0.250 0.250 0.250
# - magnetic moment (μB per atom) = 0.00
# - formation energy (meV per atom) = -292
# - crystal system = cubic
# - E_tot (eV per atom) = -5.142